The following is a DFT calculation (GGA-PBE) of a geometry-optimized Mg2ZnNi structure.

Its symmetry is P4mm. As for the density of states at the Fermi level: 0.44 states/eV per atom. Its magnetic moment is 0.0000 μB/atom. The value obtained for the total energy is -2.688 eV/atom.

Cell and atoms, written as CIF:
```
data_Mg2ZnNi
_chemical_formula_sum 'Mg2 Zn1 Ni1'
_cell_length_a 3.1011
_cell_length_b 3.1011
_cell_length_c 6.8817
_cell_angle_alpha 90.00
_cell_angle_beta 90.00
_cell_angle_gamma 90.00
_symmetry_space_group_name_H-M 'P 1'
_symmetry_Int_Tables_number 1
loop_
_symmetry_equiv_pos_as_xyz
'x,y,z'
loop_
_atom_site_label
_atom_site_fract_x
_atom_site_fract_y
_atom_site_fract_z
Mg1 0.0000 0.0000 0.0000
Mg2 0.5000 0.5000 0.3350
Zn1 0.5000 0.5000 0.7369
Ni1 0.0000 0.0000 0.5654
```